Entry 1:
This record from Alexandria describes a relaxed Cs3Sc5Te12 crystal. The functional is PBE-GGA.

Output
Formation energy (no corrections)   -72 kJ per mole of atoms
Raw total energy   -4.341 eV/atom

Cell and atoms, written as CIF:
```
data_Cs3Sc5Te12
_chemical_formula_sum 'Cs24 Sc40 Te96'
_cell_length_a 18.755
_cell_length_b 18.755
_cell_length_c 18.755
_cell_angle_alpha 90.00
_cell_angle_beta 90.00
_cell_angle_gamma 90.00
_space_group_name_H-M_alt 'I a -3 d'
_space_group_IT_number 230
_space_group_name_Hall '-I 4bd 2c 3'
loop_
_atom_site_label
_atom_site_type_symbol
_atom_site_fract_x
_atom_site_fract_y
_atom_site_fract_z
_atom_site_occupancy
Cs1 Cs 0.000 0.250 0.125 1
Sc1 Sc 0.000 0.000 0.000 1
Sc2 Sc 0.000 0.250 0.375 1
Te1 Te 0.056 0.061 0.633 1
```

Entry 2:
This record from Alexandria describes a relaxed Pr3Cu2Sn4 crystal. The functional is PBE-GGA.

Output
Energy relative to the elements   -590 meV/atom
ΔE to the lowest computed polymorph   11 kJ/mol of formula units
Raw total energy   -4.873 eV/atom

Cell and atoms, written as CIF:
```
data_Pr3Cu2Sn4
_chemical_formula_sum 'Pr6 Cu4 Sn8'
_cell_length_a 11.700
_cell_length_b 4.598
_cell_length_c 8.961
_cell_angle_alpha 90.00
_cell_angle_beta 104.15
_cell_angle_gamma 90.00
_space_group_name_H-M_alt 'C 1 2/m 1'
_space_group_IT_number 12
loop_
_space_group_symop_operation_xyz
'x,y,z'
'-x,-y,-z'
'-x,y,-z'
'x,-y,z'
'x+1/2,y+1/2,z'
'-x+1/2,-y+1/2,-z'
'-x+1/2,y+1/2,-z'
'x+1/2,-y+1/2,z'
loop_
_atom_site_label
_atom_site_type_symbol
_atom_site_fract_x
_atom_site_fract_y
_atom_site_fract_z
_atom_site_occupancy
Pr1 Pr 0.000 0.000 0.000 1
Pr2 Pr 0.158 0.500 0.668 1
Cu1 Cu 0.111 0.500 0.291 1
Sn1 Sn 0.068 0.000 0.386 1
Sn2 Sn 0.209 0.500 0.068 1
```